# TlHgO2

TlHgO2 after structural relaxation (PBE, Alexandria via LeMat-Bulk).

Relative energy among the computed polymorphs   0.236 kcal/mol of atoms
Calculated total energy   -3.56 eV per atom
Raw formation energy   -39.5 kJ/mol of atoms
Total moment   0.0 μB per cell

Cell: 5.360 5.360 6.566 Å, 65.91 65.91 90.00°
Sites, in units of the cell vectors:
O1 0.118 0.625 0.250
O2 0.375 0.368 0.750
Hg1 0.250 0.750 0.500
O3 0.632 0.125 0.250
Tl1 0.000 0.000 0.000
O4 0.875 0.882 0.750
Tl2 0.750 0.250 0.500
Hg2 0.500 0.500 0.000

***

# K2RbGa3F12

K2RbGa3F12 after structural relaxation (PBE, Alexandria via LeMat-Bulk).

Calculated total energy   -4.67 eV per atom
Raw formation energy   -264.8 kJ/mol of atoms
Total moment   0.3 μB per cell

Cell: 7.398 7.398 7.398 Å, 60.66 60.66 60.66°
Sites, in units of the cell vectors:
F1 0.892 0.276 0.276
F2 0.128 0.128 0.543
Ga1 0.000 0.500 0.000
F3 0.872 0.457 0.872
Rb1 0.000 0.000 0.000
F4 0.872 0.872 0.457
Ga2 0.000 0.000 0.500
Ga3 0.500 0.000 0.000
F5 0.724 0.724 0.108
F6 0.276 0.892 0.276
K1 0.626 0.626 0.626
F7 0.543 0.128 0.128
F8 0.276 0.276 0.892
F9 0.128 0.543 0.128
K2 0.374 0.374 0.374
F10 0.724 0.108 0.724
F11 0.108 0.724 0.724
F12 0.457 0.872 0.872

***

# Ba2TiP2N6

Ba2TiP2N6 after structural relaxation (PBE, Alexandria via LeMat-Bulk).

Calculated total energy   -7.42 eV per atom
Raw formation energy   -79.5 kJ/mol of atoms
Total moment   0.0 μB per cell

Cell: 5.651 5.651 6.642 Å, 64.82 64.82 60.00°
Sites, in units of the cell vectors:
N1 0.756 0.270 0.218
Ba1 0.217 0.217 0.348
N2 0.756 0.756 0.218
N3 0.244 0.244 0.782
P1 0.405 0.405 0.784
N4 0.270 0.756 0.218
Ba2 0.783 0.783 0.652
N5 0.730 0.244 0.782
P2 0.595 0.595 0.216
Ti1 0.000 0.000 0.000
N6 0.244 0.730 0.782

***

# Zr3TeH2

Zr3TeH2 after structural relaxation (PBE, Alexandria via LeMat-Bulk).

Calculated total energy   -6.30 eV per atom
Total moment   0.0 μB per cell

Cell: 3.792 5.705 9.596 Å, 85.89 90.00 90.00°
Sites, in units of the cell vectors:
H1 0.250 0.405 0.895
Zr1 0.250 0.033 0.862
Zr2 0.750 0.967 0.138
H2 0.750 0.071 0.393
H3 0.750 0.595 0.105
Zr3 0.750 0.811 0.564
Zr4 0.250 0.414 0.107
Zr5 0.750 0.586 0.893
Zr6 0.250 0.189 0.436
H4 0.250 0.929 0.607
Te1 0.250 0.695 0.342
Te2 0.750 0.305 0.658

***

# SmIn9Ir2

SmIn9Ir2 after structural relaxation (PBE, Alexandria via LeMat-Bulk).

Calculated total energy   -3.97 eV per atom
E_form   -0.04 eV/atom
Total moment   0.0 μB per cell

Cell: 7.262 9.469 9.469 Å, 81.55 67.45 67.45°
Sites, in units of the cell vectors:
Ir1 0.875 0.250 0.250
In1 0.138 0.437 0.198
In2 0.325 0.063 0.698
In3 0.664 0.563 0.198
In4 0.977 0.937 0.698
In5 0.612 0.302 0.063
Ir2 0.875 0.750 0.250
In6 0.773 0.563 0.802
In7 0.773 0.802 0.563
Sm1 0.250 0.500 0.500
In8 0.664 0.198 0.563
In9 0.425 0.802 0.437
In10 0.425 0.437 0.802
Ir3 0.875 0.250 0.750
In11 0.000 0.000 0.000
In12 0.750 0.500 0.500
In13 0.325 0.698 0.063
Ir4 0.375 0.750 0.750
In14 0.138 0.198 0.437
In15 0.086 0.302 0.937
In16 0.612 0.063 0.302
In17 0.086 0.937 0.302
In18 0.977 0.698 0.937
Sm2 0.500 0.000 0.000

***

# Be3AgI

Be3AgI after structural relaxation (PBE, Alexandria via LeMat-Bulk).

Relative energy among the computed polymorphs   17.345 kcal/mol of atoms
Calculated total energy   -1.41 eV per atom
Raw formation energy   164.3 kJ/mol of atoms
Total moment   0.0 μB per cell

Cell: 4.793 4.793 4.793 Å, 90.00 90.00 90.00°
Sites, in units of the cell vectors:
I1 0.000 0.000 0.000
Be1 0.000 0.000 0.500
Ag1 0.500 0.500 0.500
Be2 0.000 0.500 0.000
Be3 0.500 0.000 0.000

***

# TcAg2Br

TcAg2Br after structural relaxation (PBE, Alexandria via LeMat-Bulk).

Relative energy among the computed polymorphs   4.374 kcal/mol of atoms
Calculated total energy   -3.83 eV per atom
Raw formation energy   58.2 kJ/mol of atoms
Total moment   0.4 μB per cell

Cell: 2.910 2.910 9.888 Å, 90.00 90.00 116.68°
Each line ends with the local moment (μB).
Sites, in units of the cell vectors:
Ag1 0.000 0.000 0.986  0.01
Tc1 0.500 0.500 0.750  0.33
Br1 0.500 0.500 0.250  0.00
Ag2 0.000 0.000 0.514  0.01

***

# PmNdBe

PmNdBe after structural relaxation (PBE, Alexandria via LeMat-Bulk).

Relative energy among the computed polymorphs   0.000 kcal/mol of atoms
Calculated total energy   -4.27 eV per atom
E_form   0.14 eV/atom
Total moment   0.0 μB per cell

Cell: 3.594 3.594 6.604 Å, 105.79 105.79 90.00°
Sites, in units of the cell vectors:
Be1 0.668 0.668 0.336
Nd1 0.030 0.030 0.061
Pm1 0.301 0.301 0.603